# 1
First-principles (GGA-PBE) data for an optimized crystal structure of HfTi2Co, as listed in Alexandria via LeMat-Bulk.

Properties
E above lowest polymorph, meV/atom: 0.0
Electronic total energy, eV per formula unit: -33.8
Formation energy, eV/atom: -0.226

a b c (Å): 3.1042 5.3803 8.3443
angles (deg): 90.00 90.00 106.80
Positions (direct):
Ti  0.3634  0.7267  0.9438
Ti  0.3634  0.7267  0.5562
Ti  0.6366  0.2733  0.0562
Ti  0.6366  0.2733  0.4438
Hf  0.9314  0.8624  0.2500
Hf  0.0686  0.1376  0.7500
Co  0.2205  0.4409  0.2500
Co  0.7795  0.5591  0.7500


# 2
First-principles (GGA-PBE) data for an optimized crystal structure of ZrP2Rh, as listed in Alexandria via LeMat-Bulk.

Properties
E above lowest polymorph, meV/atom: 102.2
Electronic total energy, eV per formula unit: -29.7
Formation energy, eV/atom: -0.734

a b c (Å): 5.1709 5.1709 3.9421
angles (deg): 79.92 79.92 38.51
Positions (direct):
P  0.7276  0.7276  0.6876
P  0.0006  0.0006  0.0501
Zr  0.2695  0.2695  0.1674
Rh  0.5023  0.5023  0.5949


# 3
First-principles (GGA-PBE) data for an optimized crystal structure of Nb3RhSe6, as listed in Alexandria via LeMat-Bulk.

Properties
E above lowest polymorph, meV/atom: 279.0
Formation energy without anion corrections, eV per atom: -0.515
Electronic total energy, eV per formula unit: -63.6

a b c (Å): 7.3384 7.3384 7.3384
angles (deg): 87.35 87.35 87.35
Positions (direct):
Nb  0.8189  0.4059  0.9597
Nb  0.1811  0.5941  0.0403
Nb  0.9597  0.8189  0.4059
Nb  0.0403  0.1811  0.5941
Nb  0.5941  0.0403  0.1811
Nb  0.4059  0.9597  0.8189
Se  0.8257  0.4872  0.5998
Se  0.1761  0.2833  0.8967
Se  0.4002  0.1743  0.5128
Se  0.7167  0.1033  0.8239
Se  0.8239  0.7167  0.1033
Se  0.1743  0.5128  0.4002
Se  0.5128  0.4002  0.1743
Se  0.2833  0.8967  0.1761
Se  0.1033  0.8239  0.7167
Se  0.5998  0.8257  0.4872
Se  0.8967  0.1761  0.2833
Se  0.4872  0.5998  0.8257
Rh  0.5000  0.5000  0.5000
Rh  0.0000  0.0000  0.0000


# 4
First-principles (GGA-PBE) data for an optimized crystal structure of La2ErHf, as listed in Alexandria via LeMat-Bulk.

Properties
E above lowest polymorph, meV/atom: 0.0
Electronic total energy, eV per formula unit: -23.7
Formation energy, eV/atom: 0.175

a b c (Å): 4.8262 5.0247 5.0247
angles (deg): 90.00 90.00 90.00
Positions (direct):
Hf  0.5000  0.0000  0.0000
Er  0.5000  0.5000  0.5000
La  0.0000  0.0000  0.5000
La  0.0000  0.5000  0.0000


In order of appearance, size of the total moment = 0.0 0.0 0.0 0.0 μB/cell.